No. 1
PBE CsInNi2Ag, relaxed; ΔE_f = 5.52 eV per formula unit; spin magnetization = 0.86 μB/f.u.; E_tot = -2.50 eV per atom
1.0
5.018 0.000 0.000
0.000 5.018 0.000
0.000 0.000 6.025
Cs In Ni Ag
1 1 2 1
Direct
0.000 0.000 0.000 Cs
0.500 0.500 0.000 In
0.000 0.500 0.500 Ni
0.500 0.000 0.500 Ni
0.000 0.000 0.500 Ag

No. 2
PBE Cs2InAgO, relaxed; ΔE_f (raw) = -0.12 eV per atom; spin magnetization = 0.00 μB/f.u.; E_tot = -2.57 eV per atom
1.0
7.061 0.000 0.000
0.000 7.061 0.000
0.000 0.000 4.032
Cs In Ag O
2 1 1 1
Direct
0.000 0.500 0.000 Cs
0.500 0.000 0.000 Cs
0.000 0.000 0.500 In
0.500 0.500 0.000 Ag
0.500 0.500 0.500 O

No. 3
PBE CsIn4Ag2Pb, relaxed; ΔE_f = -0.06 eV per formula unit; spin magnetization = 0.00 μB/f.u.; E_tot = -2.66 eV per atom
1.0
2.451 1.415 12.095
-2.451 1.415 12.095
0.000 -2.831 12.095
Cs In Ag Pb
1 4 2 1
Direct
0.000 0.000 0.000 Cs
0.118 0.118 0.118 In
0.407 0.407 0.407 In
0.593 0.593 0.593 In
0.882 0.882 0.882 In
0.230 0.230 0.230 Ag
0.770 0.770 0.770 Ag
0.500 0.500 0.500 Pb

No. 4
PBE CsIn2AgPb4, relaxed; ΔE_f = -0.07 eV per formula unit; spin magnetization = 0.00 μB/f.u.; E_tot = -3.01 eV per atom
1.0
2.699 1.558 10.862
-2.699 1.558 10.862
0.000 -3.117 10.862
Cs In Ag Pb
1 2 1 4
Direct
0.000 0.000 0.000 Cs
0.240 0.240 0.240 In
0.760 0.760 0.760 In
0.500 0.500 0.500 Ag
0.135 0.135 0.135 Pb
0.412 0.412 0.412 Pb
0.588 0.588 0.588 Pb
0.865 0.865 0.865 Pb

No. 5
PBE CsIn2AgPd, relaxed; ΔE_f = -0.51 eV per formula unit; spin magnetization = 0.00 μB/f.u.; E_tot = -2.98 eV per atom
1.0
5.228 0.000 0.000
0.000 5.228 0.000
0.000 0.000 5.635
Cs In Ag Pd
1 2 1 1
Direct
0.000 0.000 0.000 Cs
0.000 0.500 0.500 In
0.500 0.000 0.500 In
0.500 0.500 0.000 Ag
0.500 0.500 0.500 Pd

No. 6
PBE Cs2In12AgPt3, relaxed; ΔE_f = -1.92 eV per formula unit; spin magnetization = 0.00 μB/f.u.; E_tot = -3.19 eV per atom
1.0
5.202 3.003 6.514
-5.202 3.003 6.514
0.000 -6.006 6.514
Cs In Ag Pt
2 12 1 3
Direct
0.098 0.098 0.098 Cs
0.902 0.902 0.902 Cs
0.149 0.632 0.632 In
0.245 0.245 0.577 In
0.245 0.577 0.245 In
0.368 0.368 0.851 In
0.368 0.851 0.368 In
0.423 0.755 0.755 In
0.577 0.245 0.245 In
0.632 0.149 0.632 In
0.632 0.632 0.149 In
0.755 0.423 0.755 In
0.755 0.755 0.423 In
0.851 0.368 0.368 In
0.500 0.500 0.500 Ag
0.000 0.500 0.500 Pt
0.500 0.000 0.500 Pt
0.500 0.500 0.000 Pt

No. 7
PBE CsInAgRu2, relaxed; ΔE_f = 6.89 eV per formula unit; spin magnetization = 2.77 μB/f.u.; E_tot = -3.62 eV per atom
1.0
5.111 0.000 0.000
0.000 5.111 0.000
0.000 0.000 5.317
Cs In Ag Ru
1 1 1 2
Direct
0.000 0.000 0.000 Cs
0.500 0.500 0.500 In
0.500 0.500 0.000 Ag
0.000 0.500 0.500 Ru
0.500 0.000 0.500 Ru

No. 8
PBE CsIn2AgS4, relaxed; ΔE_f (raw) = -0.54 eV per atom; spin magnetization = 0.00 μB/f.u.; E_tot = -3.75 eV per atom
1.0
-2.935 2.935 6.969
2.935 -2.935 6.969
2.935 2.935 -6.969
Cs In Ag S
1 2 1 4
Direct
0.000 0.000 0.000 Cs
0.250 0.750 0.500 In
0.750 0.250 0.500 In
0.500 0.500 0.000 Ag
0.143 0.143 0.586 S
0.442 0.857 0.000 S
0.558 0.558 0.414 S
0.857 0.442 0.000 S

No. 9
PBE CsInAgS2, relaxed; ΔE_f (raw) = -0.50 eV per atom; spin magnetization = 0.00 μB/f.u.; E_tot = -3.44 eV per atom
1.0
3.432 -7.314 0.000
3.432 7.314 0.000
0.000 0.000 6.250
Cs In Ag S
2 2 2 4
Direct
0.250 0.750 0.763 Cs
0.750 0.250 0.237 Cs
0.250 0.250 0.500 In
0.750 0.750 0.500 In
0.000 0.000 0.000 Ag
0.500 0.500 0.000 Ag
0.114 0.886 0.274 S
0.386 0.614 0.274 S
0.614 0.386 0.726 S
0.886 0.114 0.726 S

No. 10
PBE CsInAgSb2, relaxed; ΔE_f (raw) = -0.21 eV per atom; spin magnetization = 0.00 μB/f.u.; E_tot = -3.15 eV per atom
1.0
-2.257 2.257 8.477
2.257 -2.257 8.477
2.257 2.257 -8.477
Cs In Ag Sb
1 1 1 2
Direct
0.000 0.000 0.000 Cs
0.750 0.250 0.500 In
0.250 0.750 0.500 Ag
0.359 0.359 0.000 Sb
0.641 0.641 0.000 Sb

No. 11
PBE CsScIn2Ag, relaxed; ΔE_f = 6.46 eV per formula unit; spin magnetization = 1.34 μB/f.u.; E_tot = -1.81 eV per atom
1.0
6.400 0.000 0.000
0.000 6.400 0.000
0.000 0.000 5.914
Cs Sc In Ag
1 1 2 1
Direct
0.000 0.000 0.000 Cs
0.500 0.500 0.500 Sc
0.000 0.500 0.000 In
0.500 0.000 0.000 In
0.000 0.000 0.500 Ag

No. 12
PBE CsIn2AgSe4, relaxed; ΔE_f (raw) = -0.52 eV per atom; spin magnetization = 0.00 μB/f.u.; E_tot = -3.41 eV per atom
1.0
-3.081 3.081 7.264
3.081 -3.081 7.264
3.081 3.081 -7.264
Cs In Ag Se
1 2 1 4
Direct
0.000 0.000 0.000 Cs
0.250 0.750 0.500 In
0.750 0.250 0.500 In
0.500 0.500 0.000 Ag
0.146 0.146 0.586 Se
0.440 0.854 0.000 Se
0.560 0.560 0.414 Se
0.854 0.440 0.000 Se